Entry 1:
Here is a relaxed structure of Sr4P2H from Alexandria. Energies are from GGA-PBE.

**Final energy**: -26.4 eV per formula unit
**Density of states at the Fermi level**: 0.496 states/eV per atom
**M_tot**: 1.01 μB/f.u.
**Crystal system**: monoclinic

Geometry as CIF:
```
data_Sr4P2H
_chemical_formula_sum 'Sr16 P8 H4'
_cell_length_a 15.111
_cell_length_b 8.730
_cell_length_c 8.724
_cell_angle_alpha 90.00
_cell_angle_beta 125.24
_cell_angle_gamma 90.00
_space_group_name_H-M_alt 'C 1 2/m 1'
_space_group_IT_number 12
_space_group_name_Hall '-C 2y'
loop_
_atom_site_label
_atom_site_type_symbol
_atom_site_fract_x
_atom_site_fract_y
_atom_site_fract_z
_atom_site_occupancy
Sr1 Sr 0.007 0.235 0.257 1
Sr2 Sr 0.243 0.000 0.256 1
Sr3 Sr 0.243 0.000 0.729 1
P1 P 0.000 0.000 0.000 1
P2 P 0.000 0.000 0.500 1
P3 P 0.250 0.250 0.500 1
H1 H 0.121 0.500 0.873 1
```

Entry 2:
Here is a relaxed structure of Sr12P3H5 from Alexandria. Energies are from GGA-PBE.

**Final energy**: -62.4 eV per formula unit
**Density of states at the Fermi level**: 0.498 states/eV per atom
**M_tot**: 0.00 μB/f.u.
**Crystal system**: cubic

Geometry as CIF:
```
data_Sr12P3H5
_chemical_formula_sum 'Sr96 P24 H40'
_cell_length_a 16.687
_cell_length_b 16.687
_cell_length_c 16.687
_cell_angle_alpha 90.00
_cell_angle_beta 90.00
_cell_angle_gamma 90.00
_space_group_name_H-M_alt 'I a -3 d'
_space_group_IT_number 230
_space_group_name_Hall '-I 4bd 2c 3'
loop_
_atom_site_label
_atom_site_type_symbol
_atom_site_fract_x
_atom_site_fract_y
_atom_site_fract_z
_atom_site_occupancy
Sr1 Sr 0.033 0.060 0.657 1
P1 P 0.000 0.250 0.125 1
H1 H 0.000 0.000 0.000 1
H2 H 0.000 0.250 0.375 1
```

Entry 3:
Here is a relaxed structure of Sr2TiPH from Alexandria. Energies are from GGA-PBE.

**Final energy**: -19.0 eV per formula unit
**Density of states at the Fermi level**: 0.584 states/eV per atom
**M_tot**: 2.01 μB/f.u.
**Crystal system**: tetragonal

Geometry as CIF:
```
data_Sr2TiPH
_chemical_formula_sum 'Sr2 Ti1 P1 H1'
_cell_length_a 4.537
_cell_length_b 4.537
_cell_length_c 5.341
_cell_angle_alpha 90.00
_cell_angle_beta 90.00
_cell_angle_gamma 90.00
_space_group_name_H-M_alt 'P 4/m m m'
_space_group_IT_number 123
_space_group_name_Hall '-P 4 2'
loop_
_atom_site_label
_atom_site_type_symbol
_atom_site_fract_x
_atom_site_fract_y
_atom_site_fract_z
_atom_site_occupancy
Sr1 Sr 0.000 0.500 0.000 1
Ti1 Ti 0.000 0.000 0.500 1
P1 P 0.500 0.500 0.500 1
H1 H 0.500 0.500 0.000 1
```

Entry 4:
Here is a relaxed structure of SrZn2PH from Alexandria. Energies are from GGA-PBE.

**Final energy**: -11.9 eV per formula unit
**Density of states at the Fermi level**: 0.509 states/eV per atom
**M_tot**: 0.00 μB/f.u.
**Crystal system**: tetragonal

Geometry as CIF:
```
data_SrZn2PH
_chemical_formula_sum 'Sr1 Zn2 P1 H1'
_cell_length_a 5.029
_cell_length_b 5.029
_cell_length_c 3.934
_cell_angle_alpha 90.00
_cell_angle_beta 90.00
_cell_angle_gamma 90.00
_space_group_name_H-M_alt 'P 4/m m m'
_space_group_IT_number 123
_space_group_name_Hall '-P 4 2'
loop_
_atom_site_label
_atom_site_type_symbol
_atom_site_fract_x
_atom_site_fract_y
_atom_site_fract_z
_atom_site_occupancy
Sr1 Sr 0.000 0.000 0.000 1
Zn1 Zn 0.000 0.500 0.500 1
P1 P 0.500 0.500 0.500 1
H1 H 0.500 0.500 0.000 1
```

Entry 5:
Here is a relaxed structure of Ta2PH from Alexandria. Energies are from GGA-PBE.

**Final energy**: -32.3 eV per formula unit
**Density of states at the Fermi level**: 0.646 states/eV per atom
**E above lowest polymorph**: 0.5865 eV per atom
**M_tot**: 0.00 μB/f.u.
**Crystal system**: trigonal

Geometry as CIF:
```
data_Ta2PH
_chemical_formula_sum 'Ta6 P3 H3'
_cell_length_a 3.4637
_cell_length_b 3.4637
_cell_length_c 18.6803
_cell_angle_alpha 90.00
_cell_angle_beta 90.00
_cell_angle_gamma 120.00
_space_group_name_H-M_alt 'R -3 m'
_space_group_IT_number 166
_space_group_name_Hall '-R 3 2"'
loop_
_atom_site_label
_atom_site_type_symbol
_atom_site_fract_x
_atom_site_fract_y
_atom_site_fract_z
_atom_site_occupancy
Ta1 Ta 0.0000 0.0000 0.0955 1
P1 P 0.0000 0.0000 0.5000 1
H1 H 0.0000 0.0000 0.0000 1
```

Entry 6:
Here is a relaxed structure of Ta2PH from Alexandria. Energies are from GGA-PBE.

**Final energy**: -34.6 eV per formula unit
**Density of states at the Fermi level**: 0.184 states/eV per atom
**E above lowest polymorph**: 0.0000 eV per atom
**M_tot**: 0.00 μB/f.u.
**Crystal system**: monoclinic

Geometry as CIF:
```
data_Ta2PH
_chemical_formula_sum 'Ta8 P4 H4'
_cell_length_a 6.817
_cell_length_b 6.620
_cell_length_c 4.898
_cell_angle_alpha 90.00
_cell_angle_beta 110.33
_cell_angle_gamma 90.00
_space_group_name_H-M_alt 'C 1 m 1'
_space_group_IT_number 8
_space_group_name_Hall 'C -2y'
loop_
_atom_site_label
_atom_site_type_symbol
_atom_site_fract_x
_atom_site_fract_y
_atom_site_fract_z
_atom_site_occupancy
Ta1 Ta 0.000 0.000 0.000 1
Ta2 Ta 0.008 0.500 0.006 1
Ta3 Ta 0.354 0.253 0.402 1
P1 P 0.205 0.249 0.808 1
H1 H 0.015 0.500 0.399 1
H2 H 0.190 0.000 0.394 1
```

Entry 7:
Here is a relaxed structure of Ta2PH from Alexandria. Energies are from GGA-PBE.

**Final energy**: -34.5 eV per formula unit
**Density of states at the Fermi level**: 0.194 states/eV per atom
**E above lowest polymorph**: 0.0230 eV per atom
**M_tot**: 0.00 μB/f.u.
**Crystal system**: monoclinic

Geometry as CIF:
```
data_Ta2PH
_chemical_formula_sum 'Ta8 P4 H4'
_cell_length_a 6.738
_cell_length_b 6.701
_cell_length_c 4.927
_cell_angle_alpha 90.00
_cell_angle_beta 110.09
_cell_angle_gamma 90.00
_space_group_name_H-M_alt 'C 1 m 1'
_space_group_IT_number 8
_space_group_name_Hall 'C -2y'
loop_
_atom_site_label
_atom_site_type_symbol
_atom_site_fract_x
_atom_site_fract_y
_atom_site_fract_z
_atom_site_occupancy
Ta1 Ta 0.000 0.000 0.000 1
Ta2 Ta 0.001 0.500 0.995 1
Ta3 Ta 0.155 0.258 0.600 1
P1 P 0.300 0.246 0.191 1
H1 H 0.100 0.000 0.418 1
H2 H 0.322 0.500 0.599 1
```

Entry 8:
Here is a relaxed structure of TaPH from Alexandria. Energies are from GGA-PBE.

**Final energy**: -21.7 eV per formula unit
**Density of states at the Fermi level**: 0.383 states/eV per atom
**M_tot**: 0.00 μB/f.u.
**Crystal system**: monoclinic

Geometry as CIF:
```
data_TaPH
_chemical_formula_sum 'Ta2 P2 H2'
_cell_length_a 3.349
_cell_length_b 3.359
_cell_length_c 6.484
_cell_angle_alpha 90.00
_cell_angle_beta 90.12
_cell_angle_gamma 90.00
_space_group_name_H-M_alt 'P 1 21/m 1'
_space_group_IT_number 11
_space_group_name_Hall '-P 2yb'
loop_
_atom_site_label
_atom_site_type_symbol
_atom_site_fract_x
_atom_site_fract_y
_atom_site_fract_z
_atom_site_occupancy
Ta1 Ta 0.250 0.250 0.155 1
P1 P 0.250 0.250 0.717 1
H1 H 0.249 0.250 0.454 1
```

> The highest M_tot belongs to which entry?

Sr2TiPH

Repeat the third record exactly.
Here is a relaxed structure of Sr2TiPH from Alexandria. Energies are from GGA-PBE.

**Final energy**: -19.0 eV per formula unit
**Density of states at the Fermi level**: 0.584 states/eV per atom
**M_tot**: 2.01 μB/f.u.
**Crystal system**: tetragonal

Geometry as CIF:
```
data_Sr2TiPH
_chemical_formula_sum 'Sr2 Ti1 P1 H1'
_cell_length_a 4.537
_cell_length_b 4.537
_cell_length_c 5.341
_cell_angle_alpha 90.00
_cell_angle_beta 90.00
_cell_angle_gamma 90.00
_space_group_name_H-M_alt 'P 4/m m m'
_space_group_IT_number 123
_space_group_name_Hall '-P 4 2'
loop_
_atom_site_label
_atom_site_type_symbol
_atom_site_fract_x
_atom_site_fract_y
_atom_site_fract_z
_atom_site_occupancy
Sr1 Sr 0.000 0.500 0.000 1
Ti1 Ti 0.000 0.000 0.500 1
P1 P 0.500 0.500 0.500 1
H1 H 0.500 0.500 0.000 1
```

> What is the formula in the second record?

Sr12P3H5

> The lowest final energy belongs to which entry?

Sr12P3H5